Below is BaNiSe after structural relaxation, with properties calculated at the PBE level.

**Total magnetization**: 0.0 μB per cell
**E**: -4.656 eV per atom
**Calculated density**: 6.01 g/cm³
**Formation energy from raw total energies**: -21.36 kcal/mol of atoms

a b c (Å): 6.3576 6.3570 4.2699
angles (deg): 109.63 109.63 77.09
Fractional coordinates of all 6 atoms:
Se: 0.1818 0.0082 0.0188
Se: 0.7382 0.4516 0.5186
Ba: 0.2950 0.4360 0.7891
Ba: 0.7541 0.8949 0.2482
Ni: 0.2887 0.9018 0.5190
Ni: 0.8731 0.3168 0.0187